Record 1
# Nd6Ge2I3Cl

Nd6Ge2I3Cl after structural relaxation (PBE, the Alexandria database).

Calculated values
Magnetic moment ... 0.000 μB/f.u.
Raw total energy ... -4.76 eV/atom
Uncorrected formation energy ... -1.065 eV/atom
Theoretical density ... 6.46 Mg/m³
SG ... C2/m, No. 12

Cell: 7.3747 7.3747 8.1728 Å, 98.66 98.66 120.10°
With the nearest neighbours (Å) after each atom.
Positions (direct):
Nd1 0.0645 0.3930 0.1950  1 Cl 2.86, 2 Ge 2.91
Nd2 0.2620 0.2620 0.8034  1 Cl 2.86, 2 Ge 2.91
Nd3 0.3930 0.0645 0.1950  1 Cl 2.86, 2 Ge 2.91
Nd4 0.6070 0.9355 0.8050  1 Cl 2.86, 2 Ge 2.91
Nd5 0.7380 0.7380 0.1966  1 Cl 2.86, 2 Ge 2.91
Nd6 0.9355 0.6070 0.8050  1 Cl 2.86, 2 Ge 2.91
Ge1 0.3340 0.6660 0.0000  6 Nd 2.91
Ge2 0.6660 0.3340 0.0000  6 Nd 2.91
I1 0.1715 0.8285 0.5000  6 Nd 3.40-3.43
I2 0.5000 0.5000 0.5000  6 Nd 3.41-3.44
I3 0.8285 0.1715 0.5000  6 Nd 3.40-3.43
Cl1 0.0000 0.0000 0.0000  6 Nd 2.86

---

Record 2
# CoNiRh2

CoNiRh2 after structural relaxation (PBE, the Alexandria database).

Calculated values
Energy of formation from the pure elements ... 0.530 eV/atom
Magnetic moment ... 2.687 μB/f.u.
Raw total energy ... -6.37 eV/atom
E above lowest polymorph ... 183 kJ/mol of formula units
Theoretical density ... 9.59 Mg/m³
SG ... I-42d, No. 122

Cell: 5.3083 5.3083 5.3083 Å, 104.37 104.37 120.23°
With the nearest neighbours (Å) after each atom.
Positions (direct):
Co1 0.0000 0.0000 0.0000  4 Rh 2.35
Co2 0.7500 0.2500 0.5000  4 Rh 2.35
Ni1 0.2500 0.7500 0.5000  4 Rh 2.44, 2 Co 2.64
Ni2 0.5000 0.5000 0.0000  4 Rh 2.44, 2 Co 2.64
Rh1 0.1144 0.6250 0.9894  2 Co 2.35, 2 Ni 2.44
Rh2 0.3750 0.3644 0.4894  2 Co 2.35, 2 Ni 2.44
Rh3 0.6356 0.1250 0.0106  2 Co 2.35, 2 Ni 2.44
Rh4 0.8750 0.8856 0.5106  2 Co 2.35, 2 Ni 2.44

---

Record 3
# K2RbAuF6

K2RbAuF6 after structural relaxation (PBE, the Alexandria database).

Calculated values
Magnetic moment ... 2.000 μB/f.u.
Raw total energy ... -3.77 eV/atom
Uncorrected formation energy ... -2.006 eV/atom
Theoretical density ... 3.70 Mg/m³
SG ... Fm-3m, No. 225

Cell: 6.7045 6.7045 6.7045 Å, 60.00 60.00 60.00°
With the nearest neighbours (Å) after each atom.
Positions (direct):
K1 0.2500 0.2500 0.2500  12 F 3.36
K2 0.7500 0.7500 0.7500  12 F 3.36
Rb1 0.0000 0.0000 0.0000  6 F 2.60
Au1 0.5000 0.5000 0.5000  6 F 2.14
F1 0.2741 0.2741 0.7259  1 Au 2.14
F2 0.2741 0.7259 0.2741  1 Au 2.14
F3 0.2741 0.7259 0.7259  1 Au 2.14
F4 0.7259 0.2741 0.2741  1 Au 2.14
F5 0.7259 0.2741 0.7259  1 Au 2.14
F6 0.7259 0.7259 0.2741  1 Au 2.14

---

Record 4
# FeSiTe2

FeSiTe2 after structural relaxation (PBE, the Alexandria database).

Calculated values
Magnetic moment ... 2.027 μB/f.u.
Raw total energy ... -4.73 eV/atom
Uncorrected formation energy ... 0.317 eV/atom
Theoretical density ... 5.17 Mg/m³
SG ... I-42d, No. 122

Cell: 7.3565 7.3565 7.3565 Å, 131.63 131.63 70.81°
With the nearest neighbours (Å) after each atom.
Positions (direct):
Fe1 0.0000 0.0000 0.0000  4 Te 2.52
Fe2 0.7500 0.2500 0.5000  4 Te 2.52
Si1 0.2500 0.7500 0.5000  4 Te 2.69
Si2 0.5000 0.5000 0.0000  4 Te 2.69
Te1 0.1008 0.6250 0.9758  2 Fe 2.52, 2 Si 2.69
Te2 0.3750 0.3508 0.4758  2 Fe 2.52, 2 Si 2.69
Te3 0.6492 0.1250 0.0242  2 Fe 2.52, 2 Si 2.69
Te4 0.8750 0.8992 0.5242  2 Fe 2.52, 2 Si 2.69

---

Record 5
# Np2B2Ir5Rh

Np2B2Ir5Rh after structural relaxation (PBE, the Alexandria database).

Calculated values
Energy of formation from the pure elements ... -0.304 eV/atom
Magnetic moment ... 4.387 μB/f.u.
Raw total energy ... -9.39 eV/atom
Theoretical density ... 17.57 Mg/m³
SG ... P4/mbm, No. 127

Cell: 9.1136 9.1136 3.5499 Å, 90.00 90.00 90.00°
With the nearest neighbours (Å) after each atom.
Positions (direct):
Np1 0.1798 0.3202 0.0000  3 B 2.58-2.78, 4 Ir 2.89
Np2 0.3202 0.8202 0.0000  3 B 2.58-2.78, 4 Ir 2.89
Np3 0.6798 0.1798 0.0000  3 B 2.58-2.78, 4 Ir 2.89
Np4 0.8202 0.6798 0.0000  3 B 2.58-2.78, 4 Ir 2.89
B1 0.1198 0.6198 0.0000  6 Ir 2.35-2.36, 1 Np 2.58
B2 0.3802 0.1198 0.0000  6 Ir 2.35-2.36, 1 Np 2.58
B3 0.6198 0.8802 0.0000  6 Ir 2.35-2.36, 1 Np 2.58
B4 0.8802 0.3802 0.0000  6 Ir 2.35-2.36, 1 Np 2.58
Ir1 0.0000 0.5000 0.5000  4 B 2.35
Ir2 0.0726 0.7846 0.5000  2 B 2.36
Ir3 0.2154 0.0726 0.5000  2 B 2.36
Ir4 0.2846 0.5726 0.5000  2 B 2.36
Ir5 0.4274 0.2846 0.5000  2 B 2.36
Ir6 0.5000 0.0000 0.5000  4 B 2.35
Ir7 0.5726 0.7154 0.5000  2 B 2.36
Ir8 0.7154 0.4274 0.5000  2 B 2.36
Ir9 0.7846 0.9274 0.5000  2 B 2.36
Ir10 0.9274 0.2154 0.5000  2 B 2.36
Rh1 0.0000 0.0000 0.0000  8 Ir 2.73
Rh2 0.5000 0.5000 0.0000  8 Ir 2.73

---

Record 6
# Dy3Te2Ru

Dy3Te2Ru after structural relaxation (PBE, the Alexandria database).

Calculated values
Magnetic moment ... 0.000 μB/f.u.
Raw total energy ... -5.70 eV/atom
E above lowest polymorph ... 54 kJ/mol of formula units
Uncorrected formation energy ... -0.809 eV/atom
Theoretical density ... 7.67 Mg/m³
SG ... Cmmm, No. 65

Cell: 7.9199 7.9199 4.1750 Å, 90.00 90.00 135.79°
With the nearest neighbours (Å) after each atom.
Positions (direct):
Dy1 0.0000 0.0000 0.0000  2 Ru 2.98, 4 Te 3.14
Dy2 0.3781 0.6219 0.5000  2 Ru 2.75, 2 Te 3.03
Dy3 0.6219 0.3781 0.5000  2 Ru 2.75, 2 Te 3.03
Te1 0.1598 0.8402 0.5000  5 Dy 3.03-3.20
Te2 0.8402 0.1598 0.5000  5 Dy 3.03-3.20
Ru1 0.5000 0.5000 0.0000  6 Dy 2.75-2.98